Record 1
# PrAgSe2

A relaxed PrAgSe2 crystal (GGA-PBE, the Alexandria database).

a = 7.0086 Å, b = 7.7133 Å, c = 7.5112 Å
α = 90.00°, β = 98.03°, γ = 90.00°
Space group P2_1/c (No. 14)
Unique sites:
Pr 0.1959 0.0425 0.2974
Ag 0.4174 0.6677 0.4600
Se 0.0577 0.7304 0.5025
Se 0.3942 0.1039 0.7050

The total magnetic moment comes out at 0.0 μB per cell. The total energy is -77.845 eV for the cell shown. For the uncorrected formation energy, the calculation gives -1.22 eV per atom.

---

Record 2
# Pa2TcN5

A relaxed Pa2TcN5 crystal (GGA-PBE, the Alexandria database).

a = 9.4591 Å, b = 7.1328 Å, c = 6.9360 Å
α = 90.00°, β = 96.85°, γ = 90.00°
Space group P2_1/c (No. 14)
Unique sites:
Pa 0.0210 0.1191 0.2456
Pa 0.3427 0.1483 0.9804
Tc 0.2975 0.6053 0.9817
N 0.0920 0.6443 0.9460
N 0.1028 0.1156 0.9188
N 0.2714 0.0924 0.2834
N 0.3559 0.0688 0.6660
N 0.4054 0.6784 0.4950

The density of states at the Fermi level is 0.73 states/eV per atom. The total magnetic moment comes out at 0.0 μB per cell. The total energy is -316.135 eV for the cell shown. For the uncorrected formation energy, the calculation gives -1.01 eV per atom.

---

Record 3
# Na3Sn2Hg4

A relaxed Na3Sn2Hg4 crystal (GGA-PBE, the Alexandria database).

a = 11.3374 Å, b = 5.0328 Å, c = 9.4712 Å
α = 90.00°, β = 119.46°, γ = 90.00°
Space group C2/m (No. 12)
Unique sites:
Na 0.0000 0.0000 0.0000
Na 0.1608 0.5000 0.6735
Sn 0.1133 0.5000 0.2796
Hg 0.0793 0.0000 0.4136
Hg 0.1960 0.5000 0.0301

The density of states at the Fermi level is 0.40 states/eV per atom. The total magnetic moment comes out at 0.0 μB per cell. The total energy is -29.885 eV for the cell shown. The distance to the lowest polymorph of the same formula comes out at 0 meV per atom. The formation energy is -197 meV per atom.

---

Record 4
# V2As2Os

A relaxed V2As2Os crystal (GGA-PBE, the Alexandria database).

a = 6.8187 Å, b = 6.8187 Å, c = 3.1916 Å
α = 90.00°, β = 90.00°, γ = 90.00°
Space group P4/mbm (No. 127)
Unique sites:
V 0.1393 0.3607 0.0000
As 0.1616 0.6616 0.5000
Os 0.0000 0.0000 0.0000

The density of states at the Fermi level is 0.79 states/eV per atom. The total magnetic moment comes out at 0.0 μB per cell. The total energy is -75.736 eV for the cell shown. The distance to the lowest polymorph of the same formula comes out at 195 meV per atom. The formation energy is 180 meV per atom.

---

Record 5
# Zn2Ag

A relaxed Zn2Ag crystal (GGA-PBE, the Alexandria database).

a = 7.5853 Å, b = 7.5853 Å, c = 2.9159 Å
α = 90.00°, β = 90.00°, γ = 120.00°
Space group P-62m (No. 189)
Unique sites:
Zn 0.0000 0.3010 0.0000
Zn 0.0000 0.6336 0.5000
Ag 0.0000 0.0000 0.5000
Ag 0.3333 0.6667 0.0000

The density of states at the Fermi level is 0.18 states/eV per atom. The total magnetic moment comes out at 0.0 μB per cell. The total energy is -16.062 eV for the cell shown. The formation energy is 15 meV per atom.

---

Record 6
# Pm4NdEr6

A relaxed Pm4NdEr6 crystal (GGA-PBE, the Alexandria database).

a = 6.6482 Å, b = 6.6482 Å, c = 16.9473 Å
α = 90.00°, β = 90.00°, γ = 90.00°
Space group I-42m (No. 121)
Unique sites:
Pm 0.1897 0.1897 0.3247
Nd 0.0000 0.0000 0.5000
Er 0.0000 0.5000 0.0000
Er 0.1781 0.1781 0.1255

The density of states at the Fermi level is 1.31 states/eV per atom. The total magnetic moment comes out at 0.0 μB per cell. The total energy is -95.461 eV for the cell shown. The formation energy is 311 meV per atom.

---

Record 7
# InAg3Ru

A relaxed InAg3Ru crystal (GGA-PBE, the Alexandria database).

a = 5.1140 Å, b = 5.1140 Å, c = 5.1140 Å
α = 90.00°, β = 90.00°, γ = 90.00°
Space group Pm-3m (No. 221)
Unique sites:
In 0.0000 0.0000 0.0000
Ag 0.0000 0.5000 0.5000
Ru 0.5000 0.5000 0.5000

The density of states at the Fermi level is 0.92 states/eV per atom. The total magnetic moment comes out at 2.0 μB per cell. The total energy is -15.128 eV for the cell shown. The distance to the lowest polymorph of the same formula comes out at 0 meV per atom. The formation energy is 1088 meV per atom.

---

Record 8
# RuSeI3

A relaxed RuSeI3 crystal (GGA-PBE, the Alexandria database).

a = 5.7244 Å, b = 5.7244 Å, c = 5.7244 Å
α = 90.00°, β = 90.00°, γ = 90.00°
Space group Pm-3m (No. 221)
Unique sites:
Ru 0.0000 0.0000 0.0000
Se 0.5000 0.5000 0.5000
I 0.0000 0.5000 0.5000

The density of states at the Fermi level is 0.35 states/eV per atom. The total magnetic moment comes out at 3.2 μB per cell. The total energy is -12.061 eV for the cell shown. The distance to the lowest polymorph of the same formula comes out at 472 meV per atom. For the uncorrected formation energy, the calculation gives 1.07 eV per atom.

---

Record 9
# ZrTa3S

A relaxed ZrTa3S crystal (GGA-PBE, the Alexandria database).

a = 4.6048 Å, b = 4.6048 Å, c = 4.6048 Å
α = 90.00°, β = 90.00°, γ = 90.00°
Space group Pm-3m (No. 221)
Unique sites:
Zr 0.0000 0.0000 0.0000
Ta 0.0000 0.5000 0.5000
S 0.5000 0.5000 0.5000

The density of states at the Fermi level is 0.80 states/eV per atom. The total magnetic moment comes out at 0.0 μB per cell. The total energy is -47.954 eV for the cell shown. The distance to the lowest polymorph of the same formula comes out at 0 meV per atom. For the uncorrected formation energy, the calculation gives 0.06 eV per atom.

---

Record 10
# Ce6PmCo3

A relaxed Ce6PmCo3 crystal (GGA-PBE, the Alexandria database).

a = 10.8184 Å, b = 12.6357 Å, c = 6.9201 Å
α = 90.00°, β = 90.00°, γ = 90.00°
Space group Cmc2_1 (No. 36)
Unique sites:
Ce 0.0000 0.0433 0.0000
Ce 0.0000 0.2243 0.7347
Ce 0.1641 0.4500 0.5398
Ce 0.2277 0.1818 0.4002
Pm 0.0000 0.3213 0.2000
Co 0.0000 0.4205 0.8325
Co 0.2021 0.0928 0.7118

The density of states at the Fermi level is 2.33 states/eV per atom. The total magnetic moment comes out at 4.9 μB per cell. The total energy is -249.863 eV for the cell shown. The formation energy is -79 meV per atom.

---

Record 11
# La5Tl2Sn2

A relaxed La5Tl2Sn2 crystal (GGA-PBE, the Alexandria database).

a = 16.6506 Å, b = 8.5807 Å, c = 8.5641 Å
α = 90.00°, β = 90.00°, γ = 90.00°
Space group Cmce (No. 64)
Unique sites:
La 0.0000 0.0000 0.0000
La 0.1434 0.1762 0.3286
Tl 0.0000 0.1248 0.6253
Sn 0.2039 0.0000 0.0000

The density of states at the Fermi level is 0.99 states/eV per atom. The total magnetic moment comes out at 0.0 μB per cell. The total energy is -169.951 eV for the cell shown. The distance to the lowest polymorph of the same formula comes out at 4 meV per atom. The formation energy is -568 meV per atom.

---

Record 12
# SnHgSb2

A relaxed SnHgSb2 crystal (GGA-PBE, the Alexandria database).

a = 4.2963 Å, b = 4.2963 Å, c = 21.4150 Å
α = 90.00°, β = 90.00°, γ = 120.00°
Space group R-3m (No. 166, hexagonal axes)
Unique sites:
Sn 0.0000 0.0000 0.0000
Hg 0.0000 0.0000 0.5000
Sb 0.0000 0.0000 0.2499

The density of states at the Fermi level is 0.51 states/eV per atom. The total magnetic moment comes out at 0.0 μB per cell. The total energy is -36.712 eV for the cell shown. For the uncorrected formation energy, the calculation gives 0.08 eV per atom.

---

Q: What is the total magnetic moment in the first record?
A: 0.0 μB per cell

---

Q: What is the total magnetic moment in the first record?
A: 0.0 μB per cell